Entry 1:
## Sr2CdBiC (PBE)

Data for crystalline Sr2CdBiC at its relaxed geometry.

The structure in POSCAR format:
```
Sr2CdBiC
1.0
6.373 0.000 0.000
0.000 6.373 0.000
0.000 0.000 5.637
Sr Cd Bi C
2 1 1 1
Direct
0.000 0.500 0.000
0.500 0.000 0.000
0.000 0.000 0.500
0.000 0.000 0.000
0.500 0.500 0.500
```

Results
space group	P4/mmm, No. 123
ΔE_f	1.104	eV per atom

Entry 2:
## LaTeRu2 (PBE)

Data for crystalline LaTeRu2 at its relaxed geometry.

The structure in POSCAR format:
```
LaTeRu2
1.0
-2.025 2.025 4.895
2.025 -2.025 4.895
2.025 2.025 -4.895
La Te Ru
1 1 2
Direct
0.000 0.000 0.000
0.750 0.250 0.500
0.250 0.750 0.500
0.500 0.500 0.000
```

Results
relative energy among the computed polymorphs	1.386	eV per formula unit
space group	I-4m2, No. 119
formation energy from raw total energies	0.1	eV per formula unit

Entry 3:
## InTcIr2 (PBE)

Data for crystalline InTcIr2 at its relaxed geometry.

The structure in POSCAR format:
```
InTcIr2
1.0
2.847 0.000 0.000
0.000 3.862 0.000
0.000 0.000 5.770
In Tc Ir
1 1 2
Direct
0.000 0.000 0.000
0.000 0.000 0.500
0.500 0.500 0.269
0.500 0.500 0.731
```

Results
space group	Pmmm, No. 47
ΔE_f	0.019	eV per atom

Entry 4:
## NdNbTl2O6 (PBE)

Data for crystalline NdNbTl2O6 at its relaxed geometry.

The structure in POSCAR format:
```
NdNbTl2O6
1.0
0.000 4.365 4.365
4.365 0.000 4.365
4.365 4.365 0.000
Nd Nb Tl O
1 1 2 6
Direct
0.000 0.000 0.000
0.500 0.500 0.500
0.250 0.250 0.250
0.750 0.750 0.750
0.269 0.269 0.731
0.269 0.731 0.269
0.269 0.731 0.731
0.731 0.269 0.269
0.731 0.269 0.731
0.731 0.731 0.269
```

Results
space group	Fm-3m, No. 225
formation energy from raw total energies	-17.9	eV per formula unit

Entry 5:
## AcMgSiH (PBE)

Data for crystalline AcMgSiH at its relaxed geometry.

The structure in POSCAR format:
```
AcMgSiH
1.0
4.420 0.000 0.000
0.000 4.420 0.000
0.000 0.000 8.277
Ac Mg Si H
2 2 2 2
Direct
0.250 0.250 0.152
0.750 0.750 0.848
0.250 0.750 0.500
0.750 0.250 0.500
0.250 0.250 0.701
0.750 0.750 0.299
0.250 0.750 0.000
0.750 0.250 0.000
```

Results
space group	P4/nmm, No. 129
E	-4.154	eV/atom